The following is a DFT calculation (PBE) of a geometry-optimized PrSm2Ru2 structure.

Summary:
- Volume: 25.9 Å³/atom
- Formation energy: -76 meV per atom

Lattice parameters (Å, degrees): 11.5555 4.0102 5.8199 90.00 105.89 90.00
Last column: nearest neighbours and their distance in Å.
Space group C2/m (No. 12)
Inequivalent atoms, fractional coordinates:
1 Pr 0.0000 0.0000 0.0000 x2  4 Ru 3.00
2 Sm 0.1562 0.5000 0.6124 x4  4 Ru 2.77-3.00
3 Ru 0.2000 0.5000 0.1273 x4  4 Sm 2.77-3.00, 2 Ru 2.91, 2 Pr 3.00

---

The following is a DFT calculation (PBE) of a geometry-optimized PrSmRu2 structure.

Summary:
- Volume: 21.5 Å³/atom
- Formation energy: -78 meV per atom

Lattice parameters (Å, degrees): 3.5034 3.5034 7.0097 90.00 90.00 90.00
Last column: nearest neighbours and their distance in Å.
Space group P4/mmm (No. 123)
Inequivalent atoms, fractional coordinates:
1 Pr 0.0000 0.0000 0.0000 x1  8 Ru 3.05
2 Sm 0.0000 0.0000 0.5000 x1  8 Ru 3.02
3 Ru 0.5000 0.5000 0.2543 x2  4 Sm 3.02, 4 Pr 3.05

---

The following is a DFT calculation (PBE) of a geometry-optimized Pr3SmRu structure.

Summary:
- Volume: 32.8 Å³/atom
- Formation energy: -140 meV per atom
- Energy above the most stable polymorph in this dataset: 0.00 eV/f.u.

Lattice parameters (Å, degrees): 12.1467 8.8533 8.5004 90.00 134.15 90.00
Last column: nearest neighbours and their distance in Å.
Space group C2/m (No. 12)
Inequivalent atoms, fractional coordinates:
1 Pr 0.0493 0.0000 0.3415 x4  1 Ru 2.74
2 Pr 0.2483 0.3006 0.7913 x8  1 Ru 2.73
3 Sm 0.0478 0.5000 0.2502 x4  1 Ru 2.69
4 Ru 0.2484 0.5000 0.1346 x4  1 Sm 2.69, 3 Pr 2.73-2.74

---

The following is a DFT calculation (PBE) of a geometry-optimized PrSm2Ru structure.

Summary:
- Volume: 28.6 Å³/atom
- Formation energy: -119 meV per atom
- Energy above the most stable polymorph in this dataset: 0.37 eV/f.u.

Lattice parameters (Å, degrees): 3.5070 3.5070 9.3147 90.00 90.00 90.00
Last column: nearest neighbours and their distance in Å.
Space group P4/mmm (No. 123)
Inequivalent atoms, fractional coordinates:
1 Pr 0.0000 0.0000 0.0000 x1  4 Pr 3.51, 8 Sm 3.88
2 Sm 0.5000 0.5000 0.3199 x2  4 Ru 2.99
3 Ru 0.0000 0.0000 0.5000 x1  8 Sm 2.99

---

Repeat the fourth record exactly.
The following is a DFT calculation (PBE) of a geometry-optimized PrSm2Ru structure.

Summary:
- Volume: 28.6 Å³/atom
- Formation energy: -119 meV per atom
- Energy above the most stable polymorph in this dataset: 0.37 eV/f.u.

Lattice parameters (Å, degrees): 3.5070 3.5070 9.3147 90.00 90.00 90.00
Last column: nearest neighbours and their distance in Å.
Space group P4/mmm (No. 123)
Inequivalent atoms, fractional coordinates:
1 Pr 0.0000 0.0000 0.0000 x1  4 Pr 3.51, 8 Sm 3.88
2 Sm 0.5000 0.5000 0.3199 x2  4 Ru 2.99
3 Ru 0.0000 0.0000 0.5000 x1  8 Sm 2.99